# 1
The following is a DFT calculation (GGA-PBE) of a geometry-optimized Rb2Tl15Sb2 structure.

Cell: 8.764 8.764 8.764 Å, 82.71 82.71 82.71°
Fractional coordinates of all 19 atoms:
1 Tl 0.656 0.656 0.153
2 Tl 0.707 0.000 0.293
3 Tl 0.000 0.000 0.500
4 Tl 0.500 0.000 0.000
5 Tl 0.153 0.656 0.656
6 Tl 0.293 0.000 0.707
7 Tl 0.656 0.153 0.656
8 Tl 0.000 0.707 0.293
9 Tl 0.344 0.847 0.344
10 Tl 0.707 0.293 0.000
11 Tl 0.847 0.344 0.344
12 Tl 0.344 0.344 0.847
13 Tl 0.293 0.707 0.000
14 Tl 0.000 0.293 0.707
15 Tl 0.000 0.500 0.000
16 Sb 0.911 0.911 0.911
17 Sb 0.089 0.089 0.089
18 Rb 0.666 0.666 0.666
19 Rb 0.334 0.334 0.334

Computed properties:
* volume: 34.63 Å³ per atom
* DOS at the Fermi energy: 8.9 states/eV per cell
* energy relative to the elements, uncorrected: -0.0213 eV per atom
* crystal system: trigonal
* calculated density: 8.8 g cm⁻³

***

# 2
The following is a DFT calculation (GGA-PBE) of a geometry-optimized RbTl4Sb2 structure.

Cell: 5.104 5.138 9.885 Å, 105.06 90.00 90.00°
Fractional coordinates of all 7 atoms:
1 Tl 0.000 0.319 0.638
2 Tl 0.500 0.182 0.363
3 Tl 0.000 0.681 0.362
4 Tl 0.500 0.818 0.637
5 Sb 0.500 0.424 0.847
6 Sb 0.500 0.576 0.153
7 Rb 0.000 0.000 0.000

Computed properties:
* volume: 35.76 Å³ per atom
* DOS at the Fermi energy: 2.1 states/eV per cell
* energy relative to the elements, uncorrected: -0.1311 eV per atom
* crystal system: orthorhombic
* calculated density: 7.6 g cm⁻³
* relative energy among the computed polymorphs: 0.0 meV per atom

***

# 3
The following is a DFT calculation (GGA-PBE) of a geometry-optimized RbTl4Sb2 structure.

Cell: 6.542 6.542 9.255 Å, 69.30 69.30 90.00°
Fractional coordinates of all 7 atoms:
1 Tl 0.230 0.230 0.541
2 Tl 0.500 0.000 0.000
3 Tl 0.000 0.500 0.000
4 Tl 0.770 0.770 0.459
5 Rb 0.000 0.000 0.000
6 Sb 0.589 0.589 0.823
7 Sb 0.411 0.411 0.177

Computed properties:
* volume: 49.00 Å³ per atom
* DOS at the Fermi energy: 2.4 states/eV per cell
* energy relative to the elements, uncorrected: 0.3096 eV per atom
* crystal system: tetragonal
* calculated density: 5.6 g cm⁻³
* relative energy among the computed polymorphs: 440.7 meV per atom

***

# 4
The following is a DFT calculation (GGA-PBE) of a geometry-optimized RbTl2Sb structure.

Cell: 4.734 4.734 10.654 Å, 77.16 77.16 60.00°
Fractional coordinates of all 4 atoms:
1 Tl 0.882 0.882 0.353
2 Tl 0.118 0.118 0.647
3 Rb 0.000 0.000 0.000
4 Sb 0.500 0.500 0.500

Computed properties:
* volume: 49.97 Å³ per atom
* DOS at the Fermi energy: 0.7 states/eV per cell
* energy relative to the elements, uncorrected: 0.0028 eV per atom
* crystal system: trigonal
* calculated density: 5.1 g cm⁻³

***

Q: What is the formula in the second record?
A: RbTl4Sb2